P.
Below is AcTb6Ho12 after structural relaxation, with properties calculated at the PBE level.

```
19
Lattice="-3.291 -8.592 -1.240 3.409 2.915 -8.128 7.068 -0.526 5.996" Properties=species:S:1:pos:R:3 pbc="T T T"
Ho 2.023 -3.013 0.462
Ho 7.631 0.044 1.135
Ho 5.163 -3.189 -3.835
Ho 5.019 -4.443 3.821
Ho 3.472 -0.524 -1.027
Ho 5.954 -3.934 -0.780
Ho 2.166 -1.760 -7.193
Ho 1.232 -2.269 -2.592
Ho 6.205 1.385 -4.372
Ho 3.714 -5.678 -2.345
Ho 0.981 -7.587 0.999
Ho -0.446 -6.246 -4.508
Tb 3.477 -5.555 1.215
Tb 0.787 -5.665 -1.584
Tb 5.305 -2.148 1.572
Tb 3.709 -0.647 -4.588
Tb 1.881 -4.055 -4.944
Tb 6.398 -0.537 -1.788
Ac 0.000 0.000 0.000
```

Results
space group	R-3m
calculated volume	653.5	Å³/f.u.
crystal system	trigonal
magnetization	0.00	μB/f.u.


Q.
Below is AcTb6Ho12 after structural relaxation, with properties calculated at the PBE level.

```
19
Lattice="-2.259 2.394 7.882 -5.569 -6.450 0.602 5.921 -5.080 3.479" Properties=species:S:1:pos:R:3 pbc="T T T"
Ho 0.515 -7.332 10.008
Ho -2.777 -5.948 10.540
Ho 0.122 -2.431 6.174
Ho 0.870 -3.188 1.424
Ho -2.028 -6.704 5.790
Ho 0.904 -5.401 7.252
Ho 0.446 -0.305 3.557
Ho -2.422 -1.804 1.956
Ho -2.353 -8.830 8.407
Ho 0.308 -5.244 4.056
Ho -2.811 -3.734 4.712
Ho -2.215 -3.891 7.908
Ac 0.000 0.000 0.000
Tb -2.464 -5.480 2.016
Tb -2.438 -0.491 5.829
Tb 0.532 -8.644 6.135
Tb 0.557 -3.656 9.948
Tb 2.943 -3.418 4.452
Tb -4.850 -5.717 7.512
```

Results
space group	R-3
calculated volume	622.7	Å³/f.u.
crystal system	trigonal
magnetization	0.00	μB/f.u.


Stability check: which of them is least stable? P.


P.
Below is AcTb4Ho4 after structural relaxation, with properties calculated at the PBE level.

```
18
Lattice="0.909 5.253 8.155 -6.207 -4.772 -3.855 11.625 -8.091 -0.146" Properties=species:S:1:pos:R:3 pbc="T T T"
Ho 1.989 -4.187 3.268
Ho 6.038 -7.916 -0.537
Ho -3.535 -2.357 1.019
Ho -2.972 -0.465 3.760
Ho 4.337 -3.424 0.887
Ho 9.861 -5.253 3.136
Ho 9.298 -7.145 0.394
Ho 0.289 0.306 4.691
Tb 1.496 -7.465 -2.127
Tb 0.893 -4.496 -0.260
Tb 5.433 -3.114 4.414
Tb 3.401 -0.564 3.022
Tb 6.703 -10.889 -2.347
Tb 2.926 -7.047 1.132
Tb 4.831 -0.146 6.281
Tb -0.377 3.278 6.501
Ac 6.459 -5.964 2.290
Ac -0.133 -1.647 1.864
```

Results
space group	P-1
calculated volume	297.1	Å³/f.u.
crystal system	triclinic
magnetization	0.00	μB/f.u.


Q.
Below is AcTb4Ho4 after structural relaxation, with properties calculated at the PBE level.

```
9
Lattice="5.061 0.000 0.000 2.530 7.628 0.000 2.530 0.000 7.628" Properties=species:S:1:pos:R:3 pbc="T T T"
Ho 5.061 5.025 0.001
Ho 7.591 7.627 5.025
Ho 5.061 2.603 7.627
Ho 2.530 0.001 2.603
Tb 2.530 5.063 2.563
Tb 5.061 5.065 5.063
Tb 5.061 2.563 2.565
Tb 7.591 2.565 5.065
Ac 0.000 0.000 0.000
```

Results
space group	I4/mmm
calculated volume	294.5	Å³/f.u.
crystal system	tetragonal
magnetization	0.00	μB/f.u.


Stability check: which of them is least stable? P.


P.
Below is AcTb2Ho after structural relaxation, with properties calculated at the PBE level.

```
4
Lattice="-0.854 0.135 -3.473 2.097 -1.596 -2.422 -6.298 -11.178 -0.730" Properties=species:S:1:pos:R:3 pbc="T T T"
Ac 0.000 0.000 0.000
Ho -2.528 -6.320 -3.312
Tb -0.627 -4.438 -5.551
Tb -4.430 -8.202 -1.074
```

Results
space group	R-3m
calculated volume	140.7	Å³/f.u.
crystal system	trigonal
magnetization	0.00	μB/f.u.


Q.
Below is AcTb2Ho after structural relaxation, with properties calculated at the PBE level.

```
4
Lattice="3.682 0.000 0.000 1.841 3.189 0.000 1.841 1.063 11.827" Properties=species:S:1:pos:R:3 pbc="T T T"
Ac 3.682 2.126 5.901
Ho 3.682 2.126 0.010
Tb 1.841 1.063 2.811
Tb 1.841 1.063 9.018
```

Results
space group	R3m
calculated volume	138.9	Å³/f.u.
crystal system	trigonal
magnetization	0.00	μB/f.u.


Stability check: which of them is least stable? P.